RbCr2InAs (PBE, optimized geometry); DOS(E_F) = 1.40 states/eV per cell; ΔE_f = 612 meV/atom; crystal system = tetragonal
1.0
-2.549 -2.103 3.814
1.284 -5.426 -2.133
4.217 -0.090 2.769
Rb Cr In As
1 2 1 1
Cartesian
1.476 -3.810 2.225
2.109 -0.045 1.384
-1.274 -1.051 1.907
0.642 -2.713 -1.067
0.000 0.000 0.000

***

CrInAsRu2 (PBE, optimized geometry); DOS(E_F) = 5.79 states/eV per cell; ΔE_f = 833 meV/atom; crystal system = tetragonal
1.0
-3.238 0.366 3.174
1.076 -4.039 1.564
3.001 1.900 2.842
Cr In As Ru
1 1 1 2
Cartesian
0.000 0.000 0.000
0.419 -0.886 3.790
0.538 -2.019 0.782
-1.619 0.183 1.587
1.500 0.950 1.421

***

ScCr2InAs (PBE, optimized geometry); DOS(E_F) = 3.06 states/eV per cell; ΔE_f = 1032 meV/atom; crystal system = tetragonal
1.0
4.953 0.000 0.000
0.000 5.341 0.000
0.000 0.000 4.953
As Cr In Sc
1 2 1 1
Cartesian
2.477 2.670 2.477
0.000 0.000 2.477
2.477 0.000 0.000
0.000 0.000 0.000
0.000 2.670 0.000

***

YCrInAs2 (PBE, optimized geometry); DOS(E_F) = 9.93 states/eV per cell; ΔE_f = 1453 meV/atom; crystal system = tetragonal
1.0
5.151 0.000 0.000
0.000 5.576 0.000
0.000 0.000 5.151
As In Y Cr
2 1 1 1
Cartesian
0.000 0.000 2.575
2.575 0.000 0.000
0.000 0.000 0.000
0.000 2.788 0.000
2.575 2.788 2.575

***

CrAsIr2 (PBE, optimized geometry); DOS(E_F) = 3.72 states/eV per cell; ΔE_f = 294 meV/atom; crystal system = cubic
1.0
-0.043 3.254 2.860
1.747 -0.544 3.927
3.687 2.028 1.030
Cr Ir As
1 2 1
Cartesian
4.043 3.553 5.862
1.348 1.184 1.954
0.000 0.000 0.000
2.696 2.369 3.908

***

CrAsIr3 (PBE, optimized geometry); DOS(E_F) = 5.83 states/eV per cell; ΔE_f = 1342 meV/atom; offset from the most stable computed form = 0.000 eV per atom; crystal system = cubic
1.0
-3.102 -1.487 -2.908
3.185 -0.485 -3.149
0.726 -4.225 1.386
Cr Ir As
1 3 1
Cartesian
0.000 0.000 0.000
1.592 -0.243 -1.575
-1.551 -0.744 -1.454
0.363 -2.112 0.693
0.404 -3.099 -2.336

***

CrAsIr2 (PBE, optimized geometry); DOS(E_F) = 3.31 states/eV per cell; ΔE_f = 21 meV/atom; crystal system = monoclinic
1.0
4.608 -0.061 0.118
3.755 2.673 0.118
0.533 0.166 4.676
Cr As Ir
1 1 2
Cartesian
2.224 0.694 1.228
6.672 2.083 3.684
8.275 2.584 0.297
4.536 1.416 2.396

***

CrAsIr2 (PBE, optimized geometry); DOS(E_F) = 3.18 states/eV per cell; ΔE_f = 92 meV/atom; crystal system = monoclinic
1.0
4.757 0.023 -0.067
3.889 2.739 -0.067
0.281 0.090 4.508
As Cr Ir
1 1 2
Cartesian
4.467 1.427 2.159
2.405 0.768 1.012
8.636 2.758 -0.051
6.528 2.085 3.308

***

CrAsIr2 (PBE, optimized geometry); DOS(E_F) = 3.43 states/eV per cell; ΔE_f = 124 meV/atom; crystal system = tetragonal
1.0
-4.541 -1.119 -0.776
-1.644 -2.572 3.627
2.311 4.137 -0.155
As Ir Cr
1 2 1
Cartesian
-3.092 -1.845 1.425
-1.213 -0.140 2.449
0.000 0.000 0.000
-2.661 0.586 0.247

***

CrAsIr2 (PBE, optimized geometry); DOS(E_F) = 2.87 states/eV per cell; ΔE_f = 63 meV/atom; crystal system = tetragonal
1.0
2.850 0.000 0.000
0.000 2.850 0.000
0.000 0.000 6.892
Ir Cr As
2 1 1
Cartesian
1.425 1.425 1.896
0.000 0.000 6.710
1.425 1.425 5.121
0.000 0.000 3.502

***

CrAsIr (PBE, optimized geometry); DOS(E_F) = 4.74 states/eV per cell; ΔE_f = 79 meV/atom; crystal system = orthorhombic
1.0
2.812 0.000 0.000
-1.406 2.441 0.000
0.000 0.000 12.432
Ir Cr As
2 2 2
Cartesian
1.406 1.322 4.254
1.406 1.322 8.179
0.000 2.139 6.216
0.000 2.196 0.000
0.000 0.578 1.882
0.000 0.578 10.550

***

Cr2AsIr2 (PBE, optimized geometry); DOS(E_F) = 9.31 states/eV per cell; ΔE_f = 116 meV/atom; offset from the most stable computed form = 0.000 eV per atom; crystal system = tetragonal
1.0
-4.922 -5.490 -0.168
5.482 -4.924 0.294
-0.123 0.026 2.737
Ir Cr As
4 4 2
Cartesian
-0.807 -7.877 0.040
2.948 -6.295 0.194
1.368 -2.537 0.086
-2.387 -4.119 -0.067
2.771 -4.139 1.536
-0.834 -2.640 1.359
-2.333 -6.249 1.327
1.272 -7.748 1.503
0.280 -5.207 0.063
0.000 0.000 0.000